InHgPb2 | PBEsol | optimized geometry

Output
- E_form (eV per atom) = 0.029
- spin magnetization (μB per atom) = 0.000
- DFT total energy (eV/atom) = -2.8578
- polymorph energy (0 for the lowest one) (eV per atom) = 0.0295

a b c (Å): 6.320 6.320 3.339
angles (deg): 102.11 102.11 117.25
Fractional positions:
In (0.000, 0.000, 0.000)
Hg (0.500, 0.500, 0.000)
Pb (0.000, 0.500, 0.500)
Pb (0.500, 0.000, 0.500)


LaZrBe2 | PBEsol | optimized geometry

Output
- E_form (eV per atom) = 0.081
- spin magnetization (μB per atom) = 0.000
- DFT total energy (eV/atom) = -5.5279

a b c (Å): 3.325 3.325 6.669
angles (deg): 90.00 90.00 90.00
Fractional positions:
La (0.000, 0.000, 0.000)
Zr (0.000, 0.000, 0.500)
Be (0.500, 0.500, 0.309)
Be (0.500, 0.500, 0.691)


CaNiSnSe2 | PBEsol | optimized geometry

Output
- spin magnetization (μB per atom) = 0.277
- formation energy (no corrections) (eV/atom) = 0.84
- DFT total energy (eV/atom) = -3.2057

a b c (Å): 5.222 5.222 5.679
angles (deg): 90.00 90.00 90.00
Fractional positions:
Ca (0.000, 0.000, 0.000)
Ni (0.500, 0.500, 0.500)
Sn (0.000, 0.000, 0.500)
Se (0.000, 0.500, 0.000)
Se (0.500, 0.000, 0.000)


Be2CoOs2 | PBEsol | optimized geometry

Output
- E_form (eV per atom) = -0.103
- spin magnetization (μB per atom) = 0.000
- DFT total energy (eV/atom) = -8.1371

a b c (Å): 5.425 5.425 3.518
angles (deg): 90.00 90.00 90.00
Fractional positions:
Be (0.130, 0.370, 0.000)
Be (0.370, 0.870, 0.000)
Be (0.630, 0.130, 0.000)
Be (0.870, 0.630, 0.000)
Co (0.000, 0.000, 0.000)
Co (0.500, 0.500, 0.000)
Os (0.177, 0.677, 0.500)
Os (0.323, 0.177, 0.500)
Os (0.677, 0.823, 0.500)
Os (0.823, 0.323, 0.500)


Li2CaCd | PBEsol | optimized geometry

Output
- E_form (eV per atom) = -0.138
- spin magnetization (μB per atom) = 0.000
- DFT total energy (eV/atom) = -1.9537
- polymorph energy (0 for the lowest one) (eV per atom) = 0.0189

a b c (Å): 5.559 5.559 5.559
angles (deg): 132.10 132.10 70.07
Fractional positions:
Li (0.000, 0.000, 0.000)
Li (0.750, 0.250, 0.500)
Ca (0.500, 0.500, 0.000)
Cd (0.250, 0.750, 0.500)


Hg3Se2F2 | PBEsol | optimized geometry

Output
- spin magnetization (μB per atom) = 0.000
- formation energy (no corrections) (eV/atom) = -0.77
- DFT total energy (eV/atom) = -2.6658

a b c (Å): 7.281 7.281 7.281
angles (deg): 109.47 109.47 109.47
Fractional positions:
Hg (0.162, 0.912, 0.250)
Hg (0.250, 0.162, 0.912)
Hg (0.338, 0.588, 0.750)
Hg (0.588, 0.750, 0.338)
Hg (0.750, 0.338, 0.588)
Hg (0.912, 0.250, 0.162)
Se (0.000, 0.585, 0.500)
Se (0.500, 0.000, 0.585)
Se (0.585, 0.500, 0.000)
Se (0.915, 0.915, 0.915)
F (0.000, 0.019, 0.500)
F (0.019, 0.500, 0.000)
F (0.481, 0.481, 0.481)
F (0.500, 0.000, 0.019)


Ba2LiSb | PBEsol | optimized geometry

Output
- spin magnetization (μB per atom) = 0.000
- formation energy (no corrections) (eV/atom) = -0.45
- DFT total energy (eV/atom) = -3.1592

a b c (Å): 9.550 9.550 9.550
angles (deg): 30.27 30.27 30.27
Fractional positions:
Ba (0.233, 0.233, 0.233)
Ba (0.767, 0.767, 0.767)
Li (0.000, 0.000, 0.000)
Sb (0.500, 0.500, 0.500)


Y2AsRu | PBEsol | optimized geometry

Output
- E_form (eV per atom) = -0.527
- spin magnetization (μB per atom) = 0.000
- DFT total energy (eV/atom) = -7.7575

a b c (Å): 7.105 7.105 7.105
angles (deg): 34.11 34.11 34.11
Fractional positions:
Y (0.000, 0.000, 0.000)
Y (0.172, 0.172, 0.172)
As (0.428, 0.428, 0.428)
Ru (0.742, 0.742, 0.742)


BaLi3Mg | PBEsol | optimized geometry

Output
- E_form (eV per atom) = 0.148
- spin magnetization (μB per atom) = 0.000
- DFT total energy (eV/atom) = -1.8049

a b c (Å): 5.412 5.412 5.412
angles (deg): 90.00 90.00 90.00
Fractional positions:
Ba (0.000, 0.000, 0.000)
Li (0.000, 0.500, 0.500)
Li (0.500, 0.000, 0.500)
Li (0.500, 0.500, 0.000)
Mg (0.500, 0.500, 0.500)


RbBaTiMn2 | PBEsol | optimized geometry

Output
- E_form (eV per atom) = 2.175
- spin magnetization (μB per atom) = 2.042
- DFT total energy (eV/atom) = -4.0287

a b c (Å): 5.350 5.350 5.944
angles (deg): 90.00 90.00 90.00
Fractional positions:
Rb (0.000, 0.000, 0.000)
Ba (0.000, 0.000, 0.500)
Ti (0.500, 0.500, 0.000)
Mn (0.000, 0.500, 0.500)
Mn (0.500, 0.000, 0.500)


AgTe2Mo | PBEsol | optimized geometry

Output
- spin magnetization (μB per atom) = 0.629
- formation energy (no corrections) (eV/atom) = 0.87
- DFT total energy (eV/atom) = -4.6635
- polymorph energy (0 for the lowest one) (eV per atom) = 0.7783

a b c (Å): 4.952 4.952 4.952
angles (deg): 60.00 60.00 60.00
Fractional positions:
Ag (0.000, 0.000, 0.000)
Te (0.500, 0.500, 0.500)
Te (0.750, 0.750, 0.750)
Mo (0.250, 0.250, 0.250)


TiSbOsC2 | PBEsol | optimized geometry

Output
- spin magnetization (μB per atom) = 0.001
- formation energy (no corrections) (eV/atom) = 2.58
- DFT total energy (eV/atom) = -6.3016

a b c (Å): 4.088 4.088 5.044
angles (deg): 90.00 90.00 90.00
Fractional positions:
Ti (0.000, 0.000, 0.000)
Sb (0.500, 0.500, 0.500)
Os (0.500, 0.500, 0.000)
C (0.000, 0.500, 0.500)
C (0.500, 0.000, 0.500)


SrCrRe2 | PBEsol | optimized geometry

Output
- E_form (eV per atom) = 0.883
- spin magnetization (μB per atom) = 0.000
- DFT total energy (eV/atom) = -8.8040
- polymorph energy (0 for the lowest one) (eV per atom) = 0.0000

a b c (Å): 2.754 2.754 9.384
angles (deg): 90.00 90.00 109.83
Fractional positions:
Sr (0.000, 0.000, 0.000)
Cr (0.500, 0.500, 0.712)
Re (0.000, 0.000, 0.517)
Re (0.500, 0.500, 0.291)


Zn2CuPt | PBEsol | optimized geometry

Output
- E_form (eV per atom) = -0.337
- spin magnetization (μB per atom) = 0.000
- DFT total energy (eV/atom) = -3.9528

a b c (Å): 4.222 4.222 4.222
angles (deg): 60.00 60.00 60.00
Fractional positions:
Zn (0.250, 0.250, 0.250)
Zn (0.750, 0.750, 0.750)
Cu (0.000, 0.000, 0.000)
Pt (0.500, 0.500, 0.500)


BaFeCu2 | PBEsol | optimized geometry

Output
- E_form (eV per atom) = 0.533
- spin magnetization (μB per atom) = 0.674
- DFT total energy (eV/atom) = -4.4124

a b c (Å): 3.166 3.166 7.167
angles (deg): 90.00 90.00 90.00
Fractional positions:
Ba (0.000, 0.000, 0.000)
Fe (0.500, 0.500, 0.662)
Cu (0.000, 0.000, 0.497)
Cu (0.500, 0.500, 0.330)


LiCa3 | PBEsol | optimized geometry

Output
- E_form (eV per atom) = 0.055
- spin magnetization (μB per atom) = 0.000
- DFT total energy (eV/atom) = -2.0361
- polymorph energy (0 for the lowest one) (eV per atom) = 0.0269

a b c (Å): 5.252 5.252 5.252
angles (deg): 90.00 90.00 90.00
Fractional positions:
Li (0.000, 0.000, 0.000)
Ca (0.000, 0.500, 0.500)
Ca (0.500, 0.000, 0.500)
Ca (0.500, 0.500, 0.000)


Cr2SbP | PBEsol | optimized geometry

Output
- spin magnetization (μB per atom) = 0.102
- formation energy (no corrections) (eV/atom) = 0.00
- DFT total energy (eV/atom) = -7.7056

a b c (Å): 3.137 3.137 5.831
angles (deg): 90.00 90.00 90.00
Fractional positions:
Cr (0.000, 0.000, 0.000)
Cr (0.500, 0.500, 0.285)
Sb (0.500, 0.500, 0.761)
P (0.000, 0.000, 0.397)


KCuPd3 | PBEsol | optimized geometry

Output
- E_form (eV per atom) = 1.764
- spin magnetization (μB per atom) = 0.000
- DFT total energy (eV/atom) = -2.9049

a b c (Å): 4.778 4.778 4.778
angles (deg): 90.00 90.00 90.00
Fractional positions:
K (0.000, 0.000, 0.000)
Cu (0.500, 0.500, 0.500)
Pd (0.000, 0.000, 0.500)
Pd (0.000, 0.500, 0.000)
Pd (0.500, 0.000, 0.000)


Li2ReAu | PBEsol | optimized geometry

Output
- E_form (eV per atom) = 0.048
- spin magnetization (μB per atom) = 0.000
- DFT total energy (eV/atom) = -5.2493
- polymorph energy (0 for the lowest one) (eV per atom) = 0.0295

a b c (Å): 2.615 2.615 8.337
angles (deg): 90.00 90.00 90.00
Fractional positions:
Li (0.000, 0.000, 0.243)
Li (0.000, 0.000, 0.757)
Re (0.500, 0.500, 0.500)
Au (0.500, 0.500, 0.000)


SrCrMo | PBEsol | optimized geometry

Output
- E_form (eV per atom) = 1.011
- spin magnetization (μB per atom) = 0.001
- DFT total energy (eV/atom) = -6.9393

a b c (Å): 7.565 7.313 2.993
angles (deg): 83.15 73.72 23.13
Fractional positions:
Sr (0.000, 0.000, 0.000)
Cr (0.688, 0.688, 0.312)
Mo (0.301, 0.301, 0.699)